First-principles (PBE) data for a relaxed structure of SrHfNi2, as listed in the Alexandria database.

Cell: 3.3104 3.3104 7.1796 Å, 90.00 90.00 90.00°
Positions (direct):
Sr  0.5000  0.5000  0.5000
Hf  0.5000  0.5000  0.0000
Ni  0.0000  0.0000  0.8184
Ni  0.0000  0.0000  0.1816

Computed properties:
- polymorph energy (0 for the lowest one) (meV per atom) = 0
- spin magnetization (μB per formula unit) = 0.000
- formation energy from the elements (eV per atom) = -0.206
- space-group type = P4/mmm (123)
- calculated volume (Å³/atom) = 19.670

First-principles (PBE) data for a relaxed structure of Sr2HfNi2, as listed in the Alexandria database.

Cell: 6.8929 6.8929 5.0092 Å, 90.00 90.00 90.00°
Positions (direct):
Sr  0.1770  0.6770  0.5000
Sr  0.6770  0.8230  0.5000
Sr  0.8230  0.3230  0.5000
Sr  0.3230  0.1770  0.5000
Hf  0.0000  0.0000  0.0000
Hf  0.5000  0.5000  0.0000
Ni  0.3754  0.8754  0.0000
Ni  0.8754  0.6246  0.0000
Ni  0.6246  0.1246  0.0000
Ni  0.1246  0.3754  0.0000

Computed properties:
- spin magnetization (μB per formula unit) = 0.000
- formation energy from the elements (eV per atom) = 0.147
- space-group type = P4/mbm (127)
- calculated volume (Å³/atom) = 23.800

First-principles (PBE) data for a relaxed structure of SrHfTcNi2, as listed in the Alexandria database.

Cell: 4.8411 4.7151 4.8411 Å, 90.00 90.00 90.00°
Positions (direct):
Sr  0.5000  0.5000  0.5000
Hf  0.0000  0.5000  0.0000
Tc  0.0000  0.0000  0.0000
Ni  0.0000  0.0000  0.5000
Ni  0.5000  0.0000  0.0000

Computed properties:
- spin magnetization (μB per formula unit) = 0.000
- formation energy from the elements (eV per atom) = 0.576
- space-group type = P4/mmm (123)
- calculated volume (Å³/atom) = 22.101

First-principles (PBE) data for a relaxed structure of SrHfTiNi2, as listed in the Alexandria database.

Cell: 4.8408 4.8736 4.8408 Å, 90.00 90.00 90.00°
Positions (direct):
Sr  0.5000  0.5000  0.5000
Ti  0.0000  0.5000  0.0000
Hf  0.0000  0.0000  0.0000
Ni  0.0000  0.0000  0.5000
Ni  0.5000  0.0000  0.0000

Computed properties:
- spin magnetization (μB per formula unit) = 0.000
- formation energy from the elements (eV per atom) = 0.657
- space-group type = P4/mmm (123)
- calculated volume (Å³/atom) = 22.841

First-principles (PBE) data for a relaxed structure of HfTaNi4, as listed in the Alexandria database.

Cell: 4.8438 4.8438 4.8438 Å, 60.00 60.00 60.00°
Positions (direct):
Ni  0.6247  0.6247  0.1258
Ni  0.6247  0.1258  0.6247
Ni  0.6247  0.6247  0.6247
Ni  0.1258  0.6247  0.6247
Hf  0.0000  0.0000  0.0000
Ta  0.2500  0.2500  0.2500

Computed properties:
- polymorph energy (0 for the lowest one) (meV per atom) = 66
- spin magnetization (μB per formula unit) = 0.001
- formation energy from the elements (eV per atom) = -0.333
- space-group type = F-43m (216)
- calculated volume (Å³/atom) = 13.394

First-principles (PBE) data for a relaxed structure of HfTa3Ni, as listed in the Alexandria database.

Cell: 4.8620 4.8620 4.8620 Å, 90.00 90.00 90.00°
Positions (direct):
Ni  0.5000  0.5000  0.5000
Hf  0.0000  0.0000  0.0000
Ta  0.0000  0.5000  0.0000
Ta  0.0000  0.0000  0.5000
Ta  0.5000  0.0000  0.0000

Computed properties:
- polymorph energy (0 for the lowest one) (meV per atom) = 1498
- spin magnetization (μB per formula unit) = 0.000
- formation energy from the elements (eV per atom) = 2.218
- space-group type = Pm-3m (221)
- calculated volume (Å³/atom) = 22.987

First-principles (PBE) data for a relaxed structure of Hf3TaNi, as listed in the Alexandria database.

Cell: 4.7540 4.7540 4.7540 Å, 90.00 90.00 90.00°
Positions (direct):
Ni  0.0000  0.0000  0.0000
Hf  0.0000  0.5000  0.0000
Hf  0.0000  0.0000  0.5000
Hf  0.5000  0.0000  0.0000
Ta  0.5000  0.5000  0.5000

Computed properties:
- polymorph energy (0 for the lowest one) (meV per atom) = 0
- spin magnetization (μB per formula unit) = 0.002
- formation energy from the elements (eV per atom) = 0.503
- space-group type = Pm-3m (221)
- calculated volume (Å³/atom) = 21.489

First-principles (PBE) data for a relaxed structure of HfTaNi3, as listed in the Alexandria database.

Cell: 4.4311 4.4311 4.4311 Å, 90.00 90.00 90.00°
Positions (direct):
Ni  0.0000  0.5000  0.0000
Ni  0.0000  0.0000  0.5000
Ni  0.5000  0.0000  0.0000
Hf  0.0000  0.0000  0.0000
Ta  0.5000  0.5000  0.5000

Computed properties:
- polymorph energy (0 for the lowest one) (meV per atom) = 320
- spin magnetization (μB per formula unit) = 0.000
- formation energy from the elements (eV per atom) = 1.156
- space-group type = Pm-3m (221)
- calculated volume (Å³/atom) = 17.400